First-principles (PBE-GGA) data for a geometry-optimized LiSb2Br structure, as listed in Alexandria.

Computed properties:
Its energy above the most stable polymorph in this dataset is 1.27 eV/f.u.

Cell lengths 8.988, 8.987, 4.096 Å; angles 76.83, 76.82, 26.35 degrees
Atoms (fractional coordinates):
Li1 0.000 0.000 0.000
Sb1 0.000 0.500 0.500
Sb2 0.500 0.000 0.000
Br1 0.500 0.500 0.500